First-principles (PBE+U) data for a geometry-optimized LiFeSi3O8 structure, as listed in Alexandria via LeMat-Bulk.

a = 8.0536 Å, b = 7.1790 Å, c = 6.8440 Å
α = 77.06°, β = 101.95°, γ = 61.40°
With the nearest neighbours (Å) after each atom.
Positions (direct):
O 0.6986 0.1471 0.6609  1 Si 1.63
O 0.3992 0.9410 0.6931  2 Si 1.64-1.68
Si 0.1990 0.1357 0.7208  4 O 1.61-1.65
Si 0.8327 0.4294 0.2543  4 O 1.61-1.66
O 0.8801 0.9652 0.1058  1 Si 1.65
Fe 0.8221 0.2477 0.8570  5 O 1.92-2.11
O 0.1199 0.0348 0.8942  1 Si 1.65
Li 0.7774 0.8365 0.8484  2 O 1.99-2.01
Si 0.8010 0.8643 0.2792  4 O 1.61-1.65
O 0.0761 0.6648 0.9158  1 Si 1.61
Si 0.5675 0.2648 0.4032  4 O 1.62-1.68
O 0.6008 0.0590 0.3069  2 Si 1.64-1.68
Fe 0.1779 0.7523 0.1430  5 O 1.92-2.11
O 0.9239 0.3352 0.0842  1 Si 1.61
O 0.3571 0.5939 0.7375  2 Si 1.63-1.65
O 0.0111 0.2898 0.4923  2 Si 1.61-1.63
Si 0.4325 0.7352 0.5968  4 O 1.62-1.68
Si 0.1673 0.5706 0.7457  4 O 1.61-1.66
O 0.6429 0.4061 0.2625  2 Si 1.63-1.65
O 0.7450 0.7052 0.1793  2 Si 1.64-1.66
Li 0.2226 0.1635 0.1516  2 O 1.99-2.01
O 0.3254 0.4394 0.3365  1 Si 1.62
O 0.2550 0.2948 0.8207  2 Si 1.64-1.66
O 0.3014 0.8529 0.3391  1 Si 1.63
O 0.6746 0.5606 0.6635  1 Si 1.62
O 0.9889 0.7102 0.5077  2 Si 1.61-1.63

Summary:
- relative energy among the computed polymorphs (meV per atom) = 35.7
- spin magnetization (μB/atom) = 0.3879
- uncorrected energy (hartree per atom) = -0.269
- space group = P-1